# 1
Entry from Alexandria: an optimized crystal structure of RbAlAu2 (PBE).

Cell and atoms, written as CIF:
```
data_RbAlAu2
_cell_length_a 5.536
_cell_length_b 5.536
_cell_length_c 17.005
_cell_angle_alpha 90.00
_cell_angle_beta 90.00
_cell_angle_gamma 90.00
_space_group_name_H-M_alt 'I 41/a m d'
_space_group_IT_number 141
loop_
_space_group_symop_operation_xyz
'x,y,z'
'-x,-y,-z'
'-y+1/4,x+3/4,z+1/4'
'y+1/4,-x+3/4,-z+1/4'
'-x+1/2,-y,z+1/2'
'x+1/2,y,-z+1/2'
'y+1/4,-x+1/4,z+3/4'
'-y+1/4,x+1/4,-z+3/4'
'x,-y,-z'
'-x,y,z'
'-y+1/4,-x+1/4,-z+3/4'
'y+1/4,x+1/4,z+3/4'
'-x+1/2,y,-z+1/2'
'x+1/2,-y,z+1/2'
'y+1/4,x+3/4,-z+1/4'
'-y+1/4,-x+3/4,z+1/4'
'x+1/2,y+1/2,z+1/2'
'-x+1/2,-y+1/2,-z+1/2'
'-y+3/4,x+1/4,z+3/4'
'y+3/4,-x+1/4,-z+3/4'
'-x,-y+1/2,z'
'x,y+1/2,-z'
'y+3/4,-x+3/4,z+1/4'
'-y+3/4,x+3/4,-z+1/4'
'x+1/2,-y+1/2,-z+1/2'
'-x+1/2,y+1/2,z+1/2'
'-y+3/4,-x+3/4,-z+1/4'
'y+3/4,x+3/4,z+1/4'
'-x,y+1/2,-z'
'x,-y+1/2,z'
'y+3/4,x+1/4,-z+3/4'
'-y+3/4,-x+1/4,z+3/4'
loop_
_atom_site_label
_atom_site_fract_x
_atom_site_fract_y
_atom_site_fract_z
Rb1 0.000 0.250 0.375
Al1 0.000 0.250 0.875
Au1 0.000 0.000 0.000
```

E_form (meV per atom): -226
DOS at the Fermi energy (states/eV per cell): 7.86

=====

# 2
Entry from Alexandria: an optimized crystal structure of CsLi3Np4O12 (PBE).

Cell and atoms, written as CIF:
```
data_CsLi3Np4O12
_cell_length_a 8.215
_cell_length_b 8.215
_cell_length_c 8.215
_cell_angle_alpha 90.00
_cell_angle_beta 90.00
_cell_angle_gamma 90.00
_space_group_name_H-M_alt 'I m -3'
_space_group_IT_number 204
_space_group_name_Hall '-I 2 2 3'
loop_
_atom_site_label
_atom_site_fract_x
_atom_site_fract_y
_atom_site_fract_z
Cs1 0.000 0.000 0.000
Li1 0.000 0.000 0.500
Np1 0.250 0.250 0.250
O1 0.000 0.307 0.192
```

DOS at the Fermi energy (states/eV per cell): 37.82
Raw total energy (eV per atom): -8.49

=====

# 3
Entry from Alexandria: an optimized crystal structure of Pa2MnTe6 (PBE).

Cell and atoms, written as CIF:
```
data_Pa2MnTe6
_cell_length_a 7.090
_cell_length_b 7.090
_cell_length_c 12.889
_cell_angle_alpha 90.00
_cell_angle_beta 90.00
_cell_angle_gamma 90.00
_space_group_name_H-M_alt 'P 42/m n m'
_space_group_IT_number 136
_space_group_name_Hall '-P 4n 2n'
loop_
_atom_site_label
_atom_site_fract_x
_atom_site_fract_y
_atom_site_fract_z
Pa1 0.000 0.000 0.169
Mn1 0.000 0.000 0.500
Te1 0.199 0.199 0.342
Te2 0.204 0.204 0.000
```

DOS at the Fermi energy (states/eV per cell): 3.50
Raw total energy (eV per atom): -5.75

=====

# 4
Entry from Alexandria: an optimized crystal structure of YCd5Au (PBE).

Cell and atoms, written as CIF:
```
data_YCd5Au
_cell_length_a 4.833
_cell_length_b 4.833
_cell_length_c 7.117
_cell_angle_alpha 90.00
_cell_angle_beta 90.00
_cell_angle_gamma 90.00
_space_group_name_H-M_alt 'P 4/m m m'
_space_group_IT_number 123
_space_group_name_Hall '-P 4 2'
loop_
_atom_site_label
_atom_site_fract_x
_atom_site_fract_y
_atom_site_fract_z
Y1 0.000 0.000 0.000
Cd1 0.000 0.500 0.286
Cd2 0.500 0.500 0.000
Au1 0.000 0.000 0.500
```

E_form (meV per atom): -265
DOS at the Fermi energy (states/eV per cell): 3.30

=====

# 5
Entry from Alexandria: an optimized crystal structure of La2SnP (PBE).

Cell and atoms, written as CIF:
```
data_La2SnP
_cell_length_a 7.648
_cell_length_b 7.648
_cell_length_c 7.648
_cell_angle_alpha 90.00
_cell_angle_beta 90.00
_cell_angle_gamma 90.00
_space_group_name_H-M_alt 'F m -3 m'
_space_group_IT_number 225
_space_group_name_Hall '-F 4 2 3'
loop_
_atom_site_label
_atom_site_fract_x
_atom_site_fract_y
_atom_site_fract_z
La1 0.250 0.250 0.250
Sn1 0.000 0.000 0.000
P1 0.000 0.000 0.500
```

E_form (meV per atom): -732
DOS at the Fermi energy (states/eV per cell): 31.89

=====

# 6
Entry from Alexandria: an optimized crystal structure of NpFeNiGe3 (PBE).

Cell and atoms, written as CIF:
```
data_NpFeNiGe3
_cell_length_a 5.775
_cell_length_b 10.308
_cell_length_c 6.987
_cell_angle_alpha 90.00
_cell_angle_beta 90.00
_cell_angle_gamma 90.00
_space_group_name_H-M_alt 'C m c m'
_space_group_IT_number 63
_space_group_name_Hall '-C 2c 2'
loop_
_atom_site_label
_atom_site_fract_x
_atom_site_fract_y
_atom_site_fract_z
Np1 0.000 0.220 0.250
Fe1 0.000 0.428 0.250
Ni1 0.000 0.101 0.750
Ge1 0.000 0.327 0.750
Ge2 0.234 0.000 0.000
```

E_form (meV per atom): 45
DOS at the Fermi energy (states/eV per cell): 35.50

=====

# 7
Entry from Alexandria: an optimized crystal structure of TbDyRuAu (PBE).

Cell and atoms, written as CIF:
```
data_TbDyRuAu
_cell_length_a 7.015
_cell_length_b 7.015
_cell_length_c 7.015
_cell_angle_alpha 90.00
_cell_angle_beta 90.00
_cell_angle_gamma 90.00
_space_group_name_H-M_alt 'F -4 3 m'
_space_group_IT_number 216
_space_group_name_Hall 'F -4 2 3'
loop_
_atom_site_label
_atom_site_fract_x
_atom_site_fract_y
_atom_site_fract_z
Tb1 0.000 0.000 0.000
Dy1 0.000 0.000 0.500
Ru1 0.250 0.250 0.250
Au1 0.250 0.250 0.750
```

E_form (meV per atom): -574
DOS at the Fermi energy (states/eV per cell): 9.01

=====

# 8
Entry from Alexandria: an optimized crystal structure of SiGeN2F (PBE).

Cell and atoms, written as CIF:
```
data_SiGeN2F
_cell_length_a 3.637
_cell_length_b 3.637
_cell_length_c 3.848
_cell_angle_alpha 90.00
_cell_angle_beta 90.00
_cell_angle_gamma 90.00
_space_group_name_H-M_alt 'P 4/m m m'
_space_group_IT_number 123
_space_group_name_Hall '-P 4 2'
loop_
_atom_site_label
_atom_site_fract_x
_atom_site_fract_y
_atom_site_fract_z
Si1 0.000 0.000 0.000
Ge1 0.500 0.500 0.500
N1 0.000 0.500 0.000
F1 0.000 0.000 0.500
```

DOS at the Fermi energy (states/eV per cell): 1.26
Raw total energy (eV per atom): -5.97